No. 1
First-principles (PBE-GGA) data for a relaxed Pr2MgGa5 crystal, as listed in Alexandria via LeMat-Bulk.

Values from the calculation:
Space-group type: I4mm
Crystal system: tetragonal
Total DFT energy (no corrections) (eV/atom): -3.746

Unit cell a=6.245 b=6.245 c=6.245 alpha=118.67 beta=118.67 gamma=92.32
Positions (direct):
Pr1 0.000 0.500 0.500
Pr2 0.500 0.000 0.500
Mg1 0.054 0.054 0.000
Ga1 0.474 0.474 0.000
Ga2 0.529 0.529 0.557
Ga3 0.529 0.972 0.000
Ga4 0.972 0.529 0.000
Ga5 0.972 0.972 0.443

***

No. 2
First-principles (PBE-GGA) data for a relaxed Pr3MgGa2 crystal, as listed in Alexandria via LeMat-Bulk.

Values from the calculation:
Space-group type: P-3m1
Excess energy over the best structure of this formula in the dataset (meV/atom): 0
Crystal system: trigonal
Total DFT energy (no corrections) (eV/atom): -4.069

Unit cell a=5.344 b=5.344 c=13.111 alpha=90.00 beta=90.00 gamma=120.00
Positions (direct):
Pr1 0.000 0.000 0.238
Pr2 0.000 0.000 0.762
Pr3 0.333 0.667 0.418
Pr4 0.333 0.667 0.928
Pr5 0.667 0.333 0.072
Pr6 0.667 0.333 0.582
Mg1 0.333 0.667 0.672
Mg2 0.667 0.333 0.328
Ga1 0.000 0.000 0.000
Ga2 0.000 0.000 0.500
Ga3 0.333 0.667 0.178
Ga4 0.667 0.333 0.822

***

Question: Among the records above, which one has the lowest total DFT energy (no corrections)?
Answer: Pr3MgGa2

***

Question: Which value of total DFT energy (no corrections) does entry 2 give?
Answer: -4.069 eV/atom